Entry 1:
Computed, not measured: a relaxed Li2ZnMo2 crystal at the PBE-GGA level of DFT.

POSCAR file:
```
Li2ZnMo2
1.0
7.526 0.000 0.000
0.000 7.526 0.000
0.000 0.000 2.699
Li Zn Mo
4 2 4
direct
0.186 0.314 0.000
0.314 0.814 0.000
0.686 0.186 0.000
0.814 0.686 0.000
0.000 0.000 0.000
0.500 0.500 0.000
0.111 0.611 0.500
0.389 0.111 0.500
0.611 0.889 0.500
0.889 0.389 0.500
```

Output
excess energy over the best structure of this formula in the dataset = 0 meV per atom
raw total energy = -4.76 eV/atom
formation energy = 0.59 eV per atom
calculated volume = 15.3 Å³/atom

***

Entry 2:
Computed, not measured: a relaxed BaCeAg2Cl8 crystal at the PBE-GGA level of DFT.

POSCAR file:
```
BaCeAg2Cl8
1.0
6.613 0.000 0.000
0.152 6.625 0.000
0.855 1.241 8.931
Ba Ce Ag Cl
1 1 2 8
direct
0.000 0.000 0.000
0.000 0.000 0.500
0.457 0.442 0.216
0.543 0.558 0.784
0.165 0.777 0.727
0.172 0.784 0.294
0.309 0.251 0.462
0.358 0.285 0.974
0.642 0.715 0.026
0.691 0.749 0.538
0.828 0.216 0.706
0.835 0.223 0.273
```

Output
formation energy from raw total energies = -1.565 eV per atom
raw total energy = -3.93 eV/atom
calculated volume = 32.6 Å³/atom